A relaxed BaNb2Co2O8 crystal, computed with GGA+U.

Values from the calculation:
The value obtained for the total magnetic moment is 18.027 Bohr magnetons per cell. For the uncorrected energy, the calculation gives -7.660 eV per atom.

abc: 5.1517 5.1517 22.9637
angles: 90.00 90.00 120.00
Space group R-3 (No. 148, hexagonal axes)
Asymmetric unit:
Ba1 0.0000 0.0000 0.0000 [3 per cell]
Nb1 0.0000 0.0000 0.4235 [6 per cell]
Co1 0.0000 0.0000 0.1705 [6 per cell]
O1 0.0000 0.0000 0.3442 [6 per cell]
O2 0.0117 0.6915 0.8865 [18 per cell]